# 1
{"formula": "MgS2BrCl", "functional": "PBE-GGA", "state": "relaxed", "cell": [[5.213, 0.000, 0.000], [0.000, 5.213, 0.000], [0.000, 0.000, 4.724]], "species": ["S", "S", "Mg", "Br", "Cl"], "frac_coords": [[0.000, 0.500, 0.000], [0.500, 0.000, 0.000], [0.000, 0.000, 0.000], [0.500, 0.500, 0.500], [0.000, 0.000, 0.500]], "n_ef_per_ev_atom": 0.866, "space_group": "P4/mmm, No. 123", "raw_formation_energy_mev_per_atom": 52, "e_above_lowest_polymorph_ev_per_fu": 0.000, "volume_a3_per_atom": 25.68, "final_energy_ev_per_atom": -2.622}



# 2
{"formula": "MgSeBr2Cl", "functional": "PBE-GGA", "state": "relaxed", "cell": [[-1.262, -4.655, 1.444], [3.737, 0.033, 3.373], [-3.611, 2.213, 3.979]], "species": ["Mg", "Se", "Br", "Br", "Cl"], "frac_coords": [[0.000, 0.000, 0.000], [0.000, 0.000, 0.500], [0.000, 0.500, 0.000], [0.500, 0.000, 0.000], [0.500, 0.500, 0.500]], "n_ef_per_ev_atom": 1.350, "space_group": "P4/mmm, No. 123", "raw_formation_energy_mev_per_atom": -200, "e_above_lowest_polymorph_ev_per_fu": 0.000, "volume_a3_per_atom": 29.46, "final_energy_ev_per_atom": -2.254}



# 3
{"formula": "MgSeBr2Cl", "functional": "PBE-GGA", "state": "relaxed", "cell": [[5.111, 0.000, 0.000], [0.000, 5.111, 0.000], [0.000, 0.000, 5.495]], "species": ["Mg", "Se", "Br", "Br", "Cl"], "frac_coords": [[0.500, 0.500, 0.500], [0.000, 0.000, 0.500], [0.000, 0.500, 0.000], [0.500, 0.000, 0.000], [0.000, 0.000, 0.000]], "n_ef_per_ev_atom": 0.568, "space_group": "P4/mmm, No. 123", "raw_formation_energy_mev_per_atom": 266, "e_above_lowest_polymorph_ev_per_fu": 2.326, "volume_a3_per_atom": 28.70, "final_energy_ev_per_atom": -1.789}



# 4
{"formula": "MgSn3Br2Cl6", "functional": "PBE-GGA", "state": "relaxed", "cell": [[6.399, 0.000, 0.548], [0.000, 8.036, 0.000], [-0.209, -4.018, 7.139]], "species": ["Mg", "Sn", "Sn", "Sn", "Br", "Br", "Cl", "Cl", "Cl", "Cl", "Cl", "Cl"], "frac_coords": [[0.500, 0.000, 0.000], [0.000, 0.500, 0.000], [0.500, 0.500, 0.500], [0.500, 0.000, 0.500], [0.200, 0.682, 0.365], [0.800, 0.318, 0.635], [0.725, 0.304, 0.141], [0.275, 0.696, 0.859], [0.718, 0.850, 0.699], [0.282, 0.150, 0.301], [0.275, 0.163, 0.859], [0.725, 0.837, 0.141]], "n_ef_per_ev_atom": 0.000, "space_group": "C2/m, No. 12", "raw_formation_energy_mev_per_atom": -1115, "volume_a3_per_atom": 30.67, "final_energy_ev_per_atom": -3.450}



# 5
{"formula": "Sr3MgBr6Cl2", "functional": "PBE-GGA", "state": "relaxed", "cell": [[6.575, 0.000, 0.227], [0.000, 8.629, 0.000], [-0.668, -4.314, 7.373]], "species": ["Sr", "Sr", "Sr", "Mg", "Br", "Br", "Br", "Br", "Br", "Br", "Cl", "Cl"], "frac_coords": [[0.000, 0.500, 0.000], [0.500, 0.500, 0.500], [0.500, 0.000, 0.500], [0.500, 0.000, 0.000], [0.742, 0.310, 0.158], [0.258, 0.690, 0.842], [0.733, 0.857, 0.713], [0.267, 0.143, 0.287], [0.258, 0.152, 0.842], [0.742, 0.848, 0.158], [0.256, 0.668, 0.336], [0.744, 0.332, 0.664]], "n_ef_per_ev_atom": 0.000, "space_group": "C2/m, No. 12", "raw_formation_energy_mev_per_atom": -2012, "volume_a3_per_atom": 34.97, "final_energy_ev_per_atom": -3.710}



# 6
{"formula": "MgTlBrCl2", "functional": "PBE-GGA", "state": "relaxed", "cell": [[4.983, 0.000, 0.000], [0.000, 4.983, 0.000], [0.000, 0.000, 5.450]], "species": ["Tl", "Mg", "Br", "Cl", "Cl"], "frac_coords": [[0.500, 0.500, 0.500], [0.000, 0.000, 0.000], [0.000, 0.000, 0.500], [0.000, 0.500, 0.000], [0.500, 0.000, 0.000]], "n_ef_per_ev_atom": 0.000, "space_group": "P4/mmm, No. 123", "raw_formation_energy_mev_per_atom": -1394, "e_above_lowest_polymorph_ev_per_fu": 0.000, "volume_a3_per_atom": 27.07, "final_energy_ev_per_atom": -3.259}